Record 1
{
  "formula": "La2PmNd2Ho2",
  "functional": "GGA-PBE",
  "state": "optimized geometry",
  "cell": [[-5.085, -0.760, 0.424], [2.945, -4.231, -3.649], [1.167, -3.809, 7.164]],
  "species": ["La", "La", "Pm", "Nd", "Nd", "Ho", "Ho"],
  "frac_coords": [[0.142, 0.284, 0.427], [0.858, 0.716, 0.573], [0.000, 0.000, 0.000], [0.715, 0.430, 0.141], [0.285, 0.570, 0.859], [0.571, 0.142, 0.715], [0.429, 0.858, 0.285]],
  "delta_e_f_ev_per_atom": 0.023,
  "space_group": "C2/m"
}

Record 2
{
  "formula": "Pm2Y3Sc",
  "functional": "GGA-PBE",
  "state": "optimized geometry",
  "cell": [[0.044, 1.506, -4.773], [10.055, -0.857, -0.178], [-5.697, -7.453, 0.221]],
  "species": ["Pm", "Pm", "Pm", "Pm", "Y", "Y", "Y", "Y", "Y", "Y", "Sc", "Sc"],
  "frac_coords": [[0.663, 0.663, 0.325], [0.337, 0.837, 0.675], [0.663, 0.163, 0.325], [0.337, 0.337, 0.675], [0.500, 0.250, 0.000], [0.500, 0.750, 0.000], [0.165, 0.415, 0.329], [0.835, 0.085, 0.671], [0.835, 0.585, 0.671], [0.165, 0.915, 0.329], [0.000, 0.500, 0.000], [0.000, 0.000, 0.000]],
  "delta_e_f_ev_per_atom": 0.039,
  "space_group": "Cmmm",
  "polymorph_energy_mev_per_atom": 0
}

Record 3
{
  "formula": "Hf2PtSeBr",
  "functional": "GGA-PBE",
  "state": "optimized geometry",
  "cell": [[-4.050, 2.651, 1.659], [-2.808, -1.937, -3.760], [-1.331, -3.917, 3.012]],
  "species": ["Se", "Hf", "Hf", "Br", "Pt"],
  "frac_coords": [[0.000, 0.500, 0.000], [0.000, 0.000, 0.500], [0.500, 0.000, 0.000], [0.500, 0.500, 0.500], [0.000, 0.000, 0.000]],
  "e_form_raw_ev_per_atom": 0.262,
  "space_group": "P4/mmm"
}

Record 4
{
  "formula": "ErTm2AlPd4",
  "functional": "GGA-PBE",
  "state": "optimized geometry",
  "cell": [[-0.904, 1.493, -4.455], [-2.932, -2.520, -2.819], [-7.357, 3.797, 0.195]],
  "species": ["Er", "Tm", "Tm", "Al", "Pd", "Pd", "Pd", "Pd"],
  "frac_coords": [[0.000, 0.000, 0.000], [0.755, 0.755, 0.736], [0.245, 0.245, 0.264], [0.500, 0.500, 0.500], [0.384, 0.384, 0.848], [0.874, 0.874, 0.378], [0.126, 0.126, 0.622], [0.616, 0.616, 0.152]],
  "delta_e_f_ev_per_atom": -0.889,
  "space_group": "R-3m"
}

Record 5
{
  "formula": "K2TmMg3F12",
  "functional": "GGA-PBE",
  "state": "optimized geometry",
  "cell": [[7.672, 0.068, 0.048], [3.848, 6.638, 0.048], [3.848, 2.240, 6.249]],
  "species": ["K", "K", "Tm", "Mg", "Mg", "Mg", "F", "F", "F", "F", "F", "F", "F", "F", "F", "F", "F", "F"],
  "frac_coords": [[0.684, 0.684, 0.684], [0.316, 0.316, 0.316], [0.000, 0.000, 0.000], [0.500, 0.000, 0.000], [0.000, 0.500, 0.000], [0.000, 0.000, 0.500], [0.306, 0.306, 0.947], [0.925, 0.925, 0.336], [0.336, 0.925, 0.925], [0.947, 0.306, 0.306], [0.925, 0.336, 0.925], [0.306, 0.947, 0.306], [0.694, 0.694, 0.053], [0.075, 0.075, 0.664], [0.664, 0.075, 0.075], [0.053, 0.694, 0.694], [0.075, 0.664, 0.075], [0.694, 0.053, 0.694]],
  "e_form_raw_ev_per_atom": -3.293,
  "space_group": "R-3m"
}

Record 6
{
  "formula": "CdPd2Pt3",
  "functional": "GGA-PBE",
  "state": "optimized geometry",
  "cell": [[4.807, -0.351, -0.955], [-1.502, 4.580, -0.955], [0.100, 0.128, 8.940]],
  "species": ["Cd", "Cd", "Pd", "Pd", "Pd", "Pd", "Pt", "Pt", "Pt", "Pt", "Pt", "Pt"],
  "frac_coords": [[0.125, 0.875, 0.250], [0.875, 0.125, 0.750], [0.045, 0.295, 0.091], [0.705, 0.955, 0.409], [0.955, 0.705, 0.909], [0.295, 0.045, 0.591], [0.213, 0.463, 0.427], [0.537, 0.787, 0.073], [0.787, 0.537, 0.573], [0.463, 0.213, 0.927], [0.625, 0.375, 0.250], [0.375, 0.625, 0.750]],
  "delta_e_f_ev_per_atom": -0.188,
  "space_group": "Fddd",
  "polymorph_energy_mev_per_atom": 0
}

Record 7
{
  "formula": "NaTb4Y3Se8",
  "functional": "GGA-PBE",
  "state": "optimized geometry",
  "cell": [[8.199, 0.000, 0.000], [0.000, 8.198, -0.006], [-4.100, -4.096, 5.802]],
  "species": ["Na", "Tb", "Tb", "Tb", "Tb", "Y", "Y", "Y", "Se", "Se", "Se", "Se", "Se", "Se", "Se", "Se"],
  "frac_coords": [[0.000, 0.500, 0.000], [0.500, 0.000, 0.000], [0.500, 0.000, 0.500], [0.000, 0.000, 0.000], [0.000, 0.000, 0.500], [0.500, 0.500, 0.000], [0.500, 0.500, 0.500], [0.000, 0.500, 0.500], [0.249, 0.749, 0.000], [0.249, 0.749, 0.499], [0.250, 0.251, 0.501], [0.750, 0.749, 0.000], [0.250, 0.251, 0.000], [0.750, 0.749, 0.499], [0.751, 0.251, 0.501], [0.751, 0.251, 0.000]],
  "e_form_raw_ev_per_atom": -1.753,
  "space_group": "R-3m"
}

Record 8
{
  "formula": "TlOsRu2Cl",
  "functional": "GGA-PBE",
  "state": "optimized geometry",
  "cell": [[5.141, 0.000, 0.000], [0.000, 5.099, 0.000], [0.000, 0.000, 5.141]],
  "species": ["Ru", "Ru", "Tl", "Os", "Cl"],
  "frac_coords": [[0.000, 0.000, 0.500], [0.500, 0.000, 0.000], [0.000, 0.000, 0.000], [0.000, 0.500, 0.000], [0.500, 0.500, 0.500]],
  "e_form_raw_ev_per_atom": 2.594,
  "space_group": "P4/mmm"
}

Record 9
{
  "formula": "AcCdPd2",
  "functional": "GGA-PBE",
  "state": "optimized geometry",
  "cell": [[4.444, 0.000, 0.000], [0.000, 7.852, 0.000], [0.000, 0.000, 10.816]],
  "species": ["Ac", "Ac", "Ac", "Ac", "Cd", "Cd", "Cd", "Cd", "Pd", "Pd", "Pd", "Pd", "Pd", "Pd", "Pd", "Pd"],
  "frac_coords": [[0.750, 0.663, 0.651], [0.250, 0.837, 0.151], [0.250, 0.337, 0.349], [0.750, 0.163, 0.849], [0.750, 0.966, 0.402], [0.250, 0.534, 0.902], [0.250, 0.034, 0.598], [0.750, 0.466, 0.098], [0.750, 0.258, 0.552], [0.250, 0.242, 0.052], [0.250, 0.742, 0.448], [0.750, 0.758, 0.948], [0.750, 0.618, 0.327], [0.250, 0.882, 0.827], [0.250, 0.382, 0.673], [0.750, 0.118, 0.173]],
  "delta_e_f_ev_per_atom": -0.686,
  "space_group": "Pnma"
}

Record 10
{
  "formula": "AlRu2SN",
  "functional": "GGA-PBE",
  "state": "optimized geometry",
  "cell": [[-0.212, 1.904, 4.096], [0.461, -3.028, 1.431], [4.474, 0.649, -0.070]],
  "species": ["Ru", "Ru", "S", "Al", "N"],
  "frac_coords": [[0.000, 0.000, 0.500], [0.500, 0.000, 0.000], [0.000, 0.000, 0.000], [0.500, 0.500, 0.500], [0.000, 0.500, 0.000]],
  "e_form_raw_ev_per_atom": 0.878,
  "space_group": "P4/mmm"
}

Record 11
{
  "formula": "PtW3",
  "functional": "GGA-PBE",
  "state": "optimized geometry",
  "cell": [[-0.994, -3.796, 2.215], [-1.901, -3.452, -2.186], [2.371, -3.752, -0.782]],
  "species": ["Pt", "W", "W", "W"],
  "frac_coords": [[0.000, 0.000, 0.000], [0.750, 0.750, 0.750], [0.500, 0.500, 0.500], [0.250, 0.250, 0.250]],
  "delta_e_f_ev_per_atom": 0.256,
  "space_group": "Fm-3m"
}

Record 12
{
  "formula": "SrRhW",
  "functional": "GGA-PBE",
  "state": "optimized geometry",
  "cell": [[4.774, 0.000, 0.000], [2.387, 4.135, 0.000], [2.387, 1.378, 3.898]],
  "species": ["Rh", "Sr", "W"],
  "frac_coords": [[0.500, 0.500, 0.500], [0.750, 0.750, 0.750], [0.000, 0.000, 0.000]],
  "delta_e_f_ev_per_atom": 2.179,
  "space_group": "F-43m",
  "polymorph_energy_mev_per_atom": 1771
}

Number 1: V 34.49 Å³/atom, total energy -33.137 eV per cell, DOS(E_F) 1.67 states/eV per atom. Number 2: V 31.59 Å³/atom, total energy -69.978 eV per cell, DOS(E_F) 1.50 states/eV per atom. Number 3: V 26.59 Å³/atom, total energy -29.796 eV per cell, DOS(E_F) 0.86 states/eV per atom. Number 4: V 19.35 Å³/atom, total energy -45.128 eV per cell, DOS(E_F) 0.71 states/eV per atom. Number 5: V 17.50 Å³/atom, total energy -93.180 eV per cell, DOS(E_F) 0.82 states/eV per atom. Number 6: V 16.11 Å³/atom, total energy -61.106 eV per cell, DOS(E_F) 1.27 states/eV per atom. Number 7: V 24.36 Å³/atom, total energy -95.164 eV per cell, DOS(E_F) 0.47 states/eV per atom. Number 8: V 26.95 Å³/atom, total energy -21.024 eV per cell, DOS(E_F) 1.45 states/eV per atom. Number 9: V 23.59 Å³/atom, total energy -72.619 eV per cell, DOS(E_F) 0.43 states/eV per atom. Number 10: V 13.82 Å³/atom, total energy -30.357 eV per cell, DOS(E_F) 0.57 states/eV per atom. Number 11: V 16.18 Å³/atom, total energy -43.878 eV per cell, DOS(E_F) 1.37 states/eV per atom. Number 12: V 25.65 Å³/atom, total energy -15.449 eV per cell, DOS(E_F) 1.43 states/eV per atom.